Below is a relaxed RbSn3Os crystal, with properties calculated at the PBE level.

Results
**Symmetry**: Pm-3m, No. 221
**Uncorrected energy**: -0.1673 Ha/atom
**Calculated volume**: 29.6 Å³/atom
**E_form**: 0.29 eV/atom

abc: 5.289 5.289 5.289
angles: 90.00 90.00 90.00
Element x y z (fractional)
Os (0.000, 0.000, 0.000)
Sn (0.000, 0.500, 0.000)
Sn (0.000, 0.000, 0.500)
Sn (0.500, 0.000, 0.000)
Rb (0.500, 0.500, 0.500)